[1]
A geometry-optimized KCrCoS3 structure. Source: Alexandria via LeMat-Bulk, functional GGA-PBE.

ΔE_f (raw) ... -0.781 eV/atom
Magnetization ... 1.07 μB per cell

Cell lengths 3.546, 8.190, 9.047 Å; angles 114.73, 90.00, 90.00 degrees
Element x y z (fractional)
Cr 0.750 0.314 0.842
Cr 0.250 0.686 0.158
S 0.750 0.874 0.140
S 0.250 0.783 0.446
S 0.250 0.126 0.860
S 0.750 0.217 0.554
S 0.250 0.523 0.865
S 0.750 0.477 0.135
K 0.250 0.234 0.251
K 0.750 0.766 0.749
Co 0.250 0.084 0.604
Co 0.750 0.916 0.396

---

[2]
A geometry-optimized K2Cr2CoSe6 structure. Source: Alexandria via LeMat-Bulk, functional GGA-PBE.

ΔE_f (raw) ... -0.662 eV/atom
Magnetization ... 5.12 μB per cell

Cell lengths 6.313, 6.313, 8.088 Å; angles 97.92, 97.92, 120.01 degrees
Element x y z (fractional)
Co 0.000 0.000 0.500
Se 0.619 0.936 0.326
Se 0.936 0.619 0.326
Se 0.261 0.261 0.328
Se 0.064 0.381 0.674
Se 0.381 0.064 0.674
Se 0.739 0.739 0.672
Cr 0.331 0.669 0.500
Cr 0.669 0.331 0.500
K 0.830 0.170 0.000
K 0.170 0.830 0.000

---

[3]
A geometry-optimized KCrCo2Se structure. Source: Alexandria via LeMat-Bulk, functional GGA-PBE.

ΔE_f (raw) ... 0.705 eV/atom
Magnetization ... 2.15 μB per cell

Cell lengths 4.506, 4.753, 4.506 Å; angles 90.00, 90.00, 90.00 degrees
Element x y z (fractional)
Co 0.500 0.000 0.000
Co 0.000 0.000 0.500
Cr 0.000 0.000 0.000
K 0.500 0.500 0.500
Se 0.000 0.500 0.000

---

[4]
A geometry-optimized KCrCoSi2 structure. Source: Alexandria via LeMat-Bulk, functional GGA-PBE.

ΔE_f (raw) ... 0.426 eV/atom
Magnetization ... 4.58 μB per cell

Cell lengths 4.377, 5.088, 4.377 Å; angles 90.00, 90.00, 90.00 degrees
Element x y z (fractional)
Si 0.500 0.000 0.000
Si 0.000 0.000 0.500
Co 0.000 0.000 0.000
Cr 0.000 0.500 0.000
K 0.500 0.500 0.500

---

[5]
A geometry-optimized KCrCo2Si structure. Source: Alexandria via LeMat-Bulk, functional GGA-PBE.

ΔE_f (raw) ... 0.997 eV/atom
Magnetization ... 1.60 μB per cell

Cell lengths 4.444, 4.613, 4.444 Å; angles 90.00, 90.00, 90.00 degrees
Element x y z (fractional)
Cr 0.000 0.000 0.000
K 0.500 0.500 0.500
Co 0.500 0.000 0.000
Co 0.000 0.000 0.500
Si 0.000 0.500 0.000

---

[6]
A geometry-optimized KCr2CoTc structure. Source: Alexandria via LeMat-Bulk, functional GGA-PBE.

DFT formation energy ... 1.24 eV per atom
Magnetization ... 6.15 μB per cell

Cell lengths 4.888, 4.888, 4.454 Å; angles 90.00, 90.00, 90.00 degrees
Element x y z (fractional)
Tc 0.000 0.000 0.500
Cr 0.500 0.000 0.000
Cr 0.000 0.500 0.000
K 0.500 0.500 0.500
Co 0.000 0.000 0.000

---

[7]
A geometry-optimized K2CrCoW structure. Source: Alexandria via LeMat-Bulk, functional GGA-PBE.

DFT formation energy ... 2.10 eV per atom
Magnetization ... 2.73 μB per cell

Cell lengths 6.514, 4.580, 6.514 Å; angles 90.00, 90.00, 90.00 degrees
Element x y z (fractional)
Co 0.500 0.500 0.500
Cr 0.000 0.500 0.000
W 0.000 0.000 0.000
K 0.500 0.000 0.000
K 0.000 0.000 0.500

---

[8]
A geometry-optimized LaCrCo4 structure. Source: Alexandria via LeMat-Bulk, functional GGA-PBE.

DFT formation energy ... 0.20 eV per atom
Magnetization ... 9.29 μB per cell

Cell lengths 5.016, 5.016, 5.016 Å; angles 60.00, 60.00, 60.00 degrees
Element x y z (fractional)
Co 0.624 0.129 0.624
Co 0.129 0.624 0.624
Co 0.624 0.624 0.129
Co 0.624 0.624 0.624
La 0.000 0.000 0.000
Cr 0.250 0.250 0.250